The following is a DFT calculation (PBE) of crystalline Dy3MgCl at its relaxed geometry.

Calculated volume: 139.4 Å³/cell
E: -3.85 eV per atom
N(E_F): 0.9056 states/eV per atom
Raw formation energy: -0.396 eV per atom

Lattice parameters (Å, degrees): 5.1854 5.1854 5.1854 90.00 90.00 90.00
Closest atoms and distances in Å follow each position.
Atoms (fractional coordinates):
Dy  0.0000  0.0000  0.5000  2 Cl 2.59
Dy  0.0000  0.5000  0.0000  2 Cl 2.59
Dy  0.5000  0.0000  0.0000  2 Cl 2.59
Mg  0.5000  0.5000  0.5000  12 Dy 3.67
Cl  0.0000  0.0000  0.0000  6 Dy 2.59